Entry from Alexandria via LeMat-Bulk: a relaxed structure of BeAuO2F (PBE).

The space group is P4/mmm (No. 123) and the conventional cell measures 4.077, 4.077 and 4.202 Å, with angles of 90.00, 90.00 and 90.00 degrees. The distinct sites, in fractional coordinates, are Be at (0.000, 0.000, 0.000), Au at (0.500, 0.500, 0.500), O at (0.000, 0.500, 0.500) and F at (0.500, 0.500, 0.000).

Its raw formation energy is 1.82 eV/f.u. Its total magnetization is 0.00 μB per cell.